[1]
Crystalline Cu2SiF2 at its relaxed geometry, computed with PBE. Values from VASP.

The structure in Quantum ESPRESSO input format:
```
&SYSTEM
  ibrav = 0, nat = 5, ntyp = 3
/
ATOMIC_SPECIES
F 19.00 F.upf
Cu 63.55 Cu.upf
Si 28.09 Si.upf
CELL_PARAMETERS angstrom
-1.414 -2.714 3.681
4.555 -0.495 1.385
1.330 0.725 4.158
ATOMIC_POSITIONS angstrom
F 2.994 -1.785 6.059
F 1.477 -0.698 3.165
Cu 3.728 -0.687 4.038
Cu 0.743 -1.797 5.186
Si 0.000 0.000 0.000
```

Output
* calculated volume: 13.06 Å³ per atom
* formation energy without anion corrections: -0.489 eV/atom
* M_tot: 0.00 μB per formula unit

[2]
Crystalline HoErPtAu at its relaxed geometry, computed with PBE. Values from VASP.

The structure in Quantum ESPRESSO input format:
```
&SYSTEM
  ibrav = 0, nat = 4, ntyp = 4
/
ATOMIC_SPECIES
Ho 164.93 Ho.upf
Er 167.26 Er.upf
Pt 195.08 Pt.upf
Au 196.97 Au.upf
CELL_PARAMETERS angstrom
3.731 0.000 0.000
0.000 4.573 0.000
-1.866 0.000 5.321
ATOMIC_POSITIONS angstrom
Ho 0.000 0.000 1.482
Er 1.866 2.287 3.860
Pt 0.000 0.000 4.366
Au 1.866 2.287 0.934
```

Output
* calculated volume: 22.70 Å³ per atom
* total energy: -0.2102 hartree per atom
* M_tot: 0.00 μB per formula unit

[3]
Crystalline Li5CuSb2 at its relaxed geometry, computed with PBE. Values from VASP.

The structure in Quantum ESPRESSO input format:
```
&SYSTEM
  ibrav = 0, nat = 16, ntyp = 3
/
ATOMIC_SPECIES
Sb 121.76 Sb.upf
Li 6.94 Li.upf
Cu 63.55 Cu.upf
CELL_PARAMETERS angstrom
-2.807 -2.881 2.523
3.975 1.734 1.934
-8.776 13.636 5.809
ATOMIC_POSITIONS angstrom
Sb -8.370 10.813 7.505
Sb -1.721 5.533 4.404
Sb 0.761 1.676 2.761
Sb -5.887 6.956 5.862
Li -5.612 8.720 3.715
Li -1.224 1.902 0.810
Li -3.164 4.916 2.094
Li -6.571 13.068 7.614
Li -3.165 7.777 5.360
Li -7.552 11.734 4.999
Li -2.740 2.066 3.779
Li -1.038 -0.579 2.652
Li -4.868 10.423 6.487
Li -4.443 4.712 4.906
Cu -0.480 3.605 3.583
Cu -7.128 8.884 6.684
```

Output
* calculated volume: 21.02 Å³ per atom
* formation energy without anion corrections: -0.429 eV/atom
* M_tot: 0.00 μB per formula unit

[4]
Crystalline Pr2SmTc2C4 at its relaxed geometry, computed with PBE. Values from VASP.

The structure in Quantum ESPRESSO input format:
```
&SYSTEM
  ibrav = 0, nat = 9, ntyp = 4
/
ATOMIC_SPECIES
C 12.01 C.upf
Pr 140.91 Pr.upf
Tc 98.00 Tc.upf
Sm 150.36 Sm.upf
CELL_PARAMETERS angstrom
-3.367 1.126 -0.286
-0.292 -4.789 6.757
1.400 4.898 2.805
ATOMIC_POSITIONS angstrom
C -0.832 4.022 3.451
C -1.639 2.165 5.645
C -1.427 -2.787 5.826
C -0.620 -0.930 3.631
Pr 0.189 1.483 3.616
Pr -2.448 -0.248 5.660
Tc -2.362 -0.794 2.499
Tc 0.103 2.029 6.777
Sm 0.000 0.000 0.000
```

Output
* calculated volume: 18.53 Å³ per atom
* total energy: -0.2936 hartree per atom
* M_tot: 0.00 μB per formula unit

[5]
Crystalline MgNiMoS4 at its relaxed geometry, computed with PBE. Values from VASP.

The structure in Quantum ESPRESSO input format:
```
&SYSTEM
  ibrav = 0, nat = 14, ntyp = 4
/
ATOMIC_SPECIES
S 32.06 S.upf
Ni 58.69 Ni.upf
Mo 95.94 Mo.upf
Mg 24.30 Mg.upf
CELL_PARAMETERS angstrom
7.219 -0.004 -0.003
3.613 6.251 -0.024
3.613 2.548 5.708
ATOMIC_POSITIONS angstrom
S 3.867 2.281 1.473
S 9.028 3.782 4.125
S 5.416 5.082 1.442
S 7.171 6.403 4.136
S 10.886 6.406 4.137
S 9.028 5.315 1.751
S 6.966 2.283 1.474
S 5.416 3.404 4.039
Ni 3.696 4.369 2.822
Ni 7.137 4.366 2.820
Mo 9.028 7.392 3.082
Mo 9.029 5.849 5.470
Mg 1.805 1.204 0.778
Mg 12.643 7.836 5.061
```

Output
* calculated volume: 18.44 Å³ per atom
* formation energy without anion corrections: -0.606 eV/atom
* M_tot: 0.04 μB per formula unit

[6]
Crystalline TmScAg4 at its relaxed geometry, computed with PBE. Values from VASP.

The structure in Quantum ESPRESSO input format:
```
&SYSTEM
  ibrav = 0, nat = 6, ntyp = 3
/
ATOMIC_SPECIES
Sc 44.96 Sc.upf
Ag 107.87 Ag.upf
Tm 168.93 Tm.upf
CELL_PARAMETERS angstrom
-2.404 -3.761 2.531
3.516 -3.369 -1.651
4.298 -0.834 2.850
ATOMIC_POSITIONS angstrom
Sc 0.931 -2.305 2.678
Ag 3.551 -3.702 3.099
Ag 1.291 -0.706 0.195
Ag 1.828 -4.278 0.606
Ag 6.490 -3.512 0.979
Tm 3.891 -2.109 0.587
```

Output
* calculated volume: 20.00 Å³ per atom
* total energy: -0.1471 hartree per atom
* M_tot: 0.00 μB per formula unit